# 1
DFT (PBE) results for BiMoAs2 after structural relaxation.

Properties
Spin magnetization ... 0.11 μB per atom
Final energy ... -5.348 eV/atom

a b c (Å): 4.819 4.819 4.819
angles (deg): 60.00 60.00 60.00
Each line ends with the local moment (μB).
Fractional positions:
As: 0.000 0.000 0.000  -0.02
As: 0.250 0.250 0.250  0.00
Bi: 0.750 0.750 0.750  0.01
Mo: 0.500 0.500 0.500  0.39

***

# 2
DFT (PBE) results for ZrCuSnMo after structural relaxation.

Properties
Spin magnetization ... 0.00 μB per atom
Offset from the most stable computed form ... 0 meV per atom

a b c (Å): 4.659 4.659 4.659
angles (deg): 60.00 60.00 60.00
Fractional positions:
Cu: 0.750 0.750 0.750
Mo: 0.250 0.250 0.250
Sn: 0.000 0.000 0.000
Zr: 0.500 0.500 0.500

***

# 3
DFT (PBE) results for TbZrPBr2 after structural relaxation.

Properties
Spin magnetization ... 0.00 μB per atom
Final energy ... -5.944 eV/atom

a b c (Å): 3.898 3.898 10.312
angles (deg): 90.00 90.00 120.00
Fractional positions:
Br: 0.667 0.333 0.322
Br: 0.333 0.667 0.687
P: 0.000 0.000 0.990
Tb: 0.333 0.667 0.139
Zr: 0.667 0.333 0.863

***

# 4
DFT (PBE) results for NbZnPb after structural relaxation.

Properties
Spin magnetization ... 0.46 μB per atom
Offset from the most stable computed form ... 0 meV per atom

a b c (Å): 4.670 4.670 4.670
angles (deg): 60.00 60.00 60.00
Fractional positions:
Nb: 0.000 0.000 0.000
Pb: 0.250 0.250 0.250
Zn: 0.750 0.750 0.750

***

# 5
DFT (PBE) results for LaCuSnTe2Se after structural relaxation.

Properties
Spin magnetization ... 0.00 μB per atom
Final energy ... -4.531 eV/atom

a b c (Å): 7.542 7.542 11.143
angles (deg): 90.00 90.00 147.15
Fractional positions:
Cu: 0.527 0.473 0.250
Cu: 0.473 0.527 0.750
La: 0.000 0.000 0.000
La: 0.000 0.000 0.500
Se: 0.928 0.072 0.250
Se: 0.072 0.928 0.750
Sn: 0.253 0.747 0.250
Sn: 0.747 0.253 0.750
Te: 0.654 0.346 0.077
Te: 0.654 0.346 0.423
Te: 0.346 0.654 0.577
Te: 0.346 0.654 0.923

***

# 6
DFT (PBE) results for HfTeIr2 after structural relaxation.

Properties
Spin magnetization ... 0.00 μB per atom
Final energy ... -7.632 eV/atom

a b c (Å): 4.666 4.666 4.666
angles (deg): 60.00 60.00 60.00
Fractional positions:
Hf: 0.500 0.500 0.500
Ir: 0.000 0.000 0.000
Ir: 0.250 0.250 0.250
Te: 0.750 0.750 0.750

***

# 7
DFT (PBE) results for HfZrH4 after structural relaxation.

Properties
Spin magnetization ... 0.00 μB per atom
Final energy ... -5.862 eV/atom

a b c (Å): 5.536 5.536 5.536
angles (deg): 126.79 126.79 78.59
Fractional positions:
H: 0.875 0.382 0.007
H: 0.132 0.625 0.007
H: 0.618 0.625 0.493
H: 0.875 0.868 0.493
H: 0.132 0.125 0.507
H: 0.375 0.382 0.507
H: 0.618 0.125 0.993
H: 0.375 0.868 0.993
Hf: 0.500 0.500 0.000
Hf: 0.250 0.750 0.500
Zr: 0.000 0.000 0.000
Zr: 0.750 0.250 0.500

***

# 8
DFT (PBE) results for LaHo2PbC after structural relaxation.

Properties
Spin magnetization ... 0.00 μB per atom
Final energy ... -5.878 eV/atom

a b c (Å): 4.932 4.932 5.204
angles (deg): 90.00 90.00 90.00
Fractional positions:
C: 0.500 0.500 0.500
Ho: 0.500 0.000 0.500
Ho: 0.000 0.500 0.500
La: 0.500 0.500 0.000
Pb: 0.000 0.000 0.000

***

# 9
DFT (PBE) results for SrCuNiP2 after structural relaxation.

Properties
Spin magnetization ... 0.00 μB per atom
Final energy ... -5.003 eV/atom

a b c (Å): 6.174 6.174 6.174
angles (deg): 143.06 143.06 53.24
Fractional positions:
Cu: 0.000 0.000 0.000
Ni: 0.500 0.500 0.000
P: 0.110 0.610 0.500
P: 0.390 0.890 0.500
Sr: 0.750 0.250 0.500

***

# 10
DFT (PBE) results for LaPr2Cu2Ge4Ir2 after structural relaxation.

Properties
Spin magnetization ... 0.00 μB per atom
Offset from the most stable computed form ... 53 meV per atom

a b c (Å): 12.827 12.827 12.827
angles (deg): 161.18 160.58 27.17
Fractional positions:
Cu: 0.249 0.249 0.000
Cu: 0.751 0.751 0.000
Ge: 0.448 0.448 0.000
Ge: 0.552 0.552 0.000
Ge: 0.803 0.303 0.500
Ge: 0.197 0.697 0.500
Ir: 0.903 0.403 0.500
Ir: 0.097 0.597 0.500
La: 0.000 0.000 0.000
Pr: 0.651 0.151 0.500
Pr: 0.349 0.849 0.500

***

# 11
DFT (PBE) results for TaTlO3 after structural relaxation.

Properties
Spin magnetization ... 0.00 μB per atom
Final energy ... -7.978 eV/atom

a b c (Å): 4.037 4.037 4.093
angles (deg): 90.00 90.00 90.00
Fractional positions:
O: 0.500 0.500 0.090
O: 0.500 0.000 0.589
O: 0.000 0.500 0.589
Ta: 0.500 0.500 0.561
Tl: 0.000 0.000 0.072

***

# 12
DFT (PBE) results for ReSnTe after structural relaxation.

Properties
Spin magnetization ... 0.01 μB per atom
Offset from the most stable computed form ... 0 meV per atom

a b c (Å): 4.606 4.606 4.606
angles (deg): 60.00 60.00 60.00
Fractional positions:
Re: 0.000 0.000 0.000
Sn: 0.250 0.250 0.250
Te: 0.750 0.750 0.750

***

# 13
DFT (PBE) results for K2In4PdAu after structural relaxation.

Properties
Final energy ... -2.982 eV/atom

a b c (Å): 8.088 6.188 6.188
angles (deg): 44.37 90.00 90.00
Fractional positions:
Au: 0.000 0.278 0.278
In: 0.312 0.157 0.157
In: 0.688 0.157 0.157
In: 0.201 0.843 0.843
In: 0.799 0.843 0.843
K: 0.500 0.445 0.445
K: 0.000 0.558 0.558
Pd: 0.500 0.719 0.719

***

# 14
DFT (PBE) results for Na6CdF8 after structural relaxation.

Properties
Final energy ... -4.168 eV/atom

a b c (Å): 6.456 6.456 6.456
angles (deg): 60.00 60.00 60.00
Fractional positions:
Cd: 0.000 0.000 0.000
F: 0.757 0.243 0.243
F: 0.243 0.757 0.243
F: 0.757 0.757 0.243
F: 0.250 0.250 0.250
F: 0.750 0.750 0.750
F: 0.243 0.243 0.757
F: 0.757 0.243 0.757
F: 0.243 0.757 0.757
Na: 0.500 0.000 0.000
Na: 0.000 0.500 0.000
Na: 0.500 0.500 0.000
Na: 0.000 0.000 0.500
Na: 0.500 0.000 0.500
Na: 0.000 0.500 0.500

***

# 15
DFT (PBE) results for InTePdAuS2 after structural relaxation.

Properties
Final energy ... -3.922 eV/atom

a b c (Å): 7.318 7.318 10.787
angles (deg): 90.00 90.00 151.00
Fractional positions:
Au: 0.863 0.137 0.250
Au: 0.137 0.863 0.750
In: 0.211 0.789 0.250
In: 0.789 0.211 0.750
Pd: 0.500 0.500 0.000
Pd: 0.500 0.500 0.500
S: 0.887 0.113 0.025
S: 0.887 0.113 0.475
S: 0.113 0.887 0.525
S: 0.113 0.887 0.975
Te: 0.541 0.459 0.250
Te: 0.459 0.541 0.750

***

# 16
DFT (PBE) results for Na44Cd7 after structural relaxation.

Properties
Final energy ... -1.272 eV/atom

a b c (Å): 16.316 16.316 16.316
angles (deg): 60.00 60.00 60.00
Fractional positions:
Cd: 0.755 0.082 0.082
Cd: 0.082 0.755 0.082
Cd: 0.082 0.082 0.082
Cd: 0.953 0.349 0.349
Cd: 0.349 0.953 0.349
Cd: 0.349 0.349 0.349
Cd: 0.914 0.586 0.586
Cd: 0.586 0.914 0.586
Cd: 0.914 0.914 0.586
Cd: 0.082 0.082 0.755
Cd: 0.586 0.586 0.914
Cd: 0.914 0.586 0.914
Cd: 0.586 0.914 0.914
Cd: 0.349 0.349 0.953
Na: 0.716 0.716 0.096
Na: 0.716 0.472 0.096
Na: 0.472 0.716 0.096
Na: 0.480 0.480 0.135
Na: 0.906 0.480 0.135
Na: 0.480 0.906 0.135
Na: 0.356 0.144 0.144
Na: 0.144 0.356 0.144
Na: 0.356 0.356 0.144
Na: 0.946 0.946 0.163
Na: 0.813 0.187 0.187
Na: 0.187 0.813 0.187
Na: 0.813 0.813 0.187
Na: 0.568 0.217 0.217
Na: 0.217 0.568 0.217
Na: 0.999 0.568 0.217
Na: 0.568 0.999 0.217
Na: 0.999 0.217 0.217
Na: 0.217 0.999 0.217
Na: 0.560 0.560 0.321
Na: 0.980 0.980 0.336
Na: 0.980 0.703 0.336
Na: 0.703 0.980 0.336
Na: 0.559 0.338 0.338
Na: 0.338 0.559 0.338
Na: 0.764 0.559 0.338
Na: 0.559 0.764 0.338
Na: 0.764 0.338 0.338
Na: 0.338 0.764 0.338
Na: 0.144 0.144 0.356
Na: 0.356 0.144 0.356
Na: 0.144 0.356 0.356
Na: 0.716 0.716 0.472
Na: 0.716 0.096 0.472
Na: 0.096 0.716 0.472
Na: 0.906 0.480 0.480
Na: 0.480 0.906 0.480
Na: 0.480 0.135 0.480
Na: 0.135 0.480 0.480
Na: 0.906 0.135 0.480
Na: 0.135 0.906 0.480
Na: 0.836 0.836 0.493
Na: 0.764 0.338 0.559
Na: 0.338 0.764 0.559
Na: 0.338 0.338 0.559
Na: 0.560 0.560 0.560
Na: 0.560 0.321 0.560
Na: 0.321 0.560 0.560
Na: 0.999 0.217 0.568
Na: 0.217 0.999 0.568
Na: 0.217 0.217 0.568
Na: 0.696 0.696 0.696
Na: 0.913 0.696 0.696
Na: 0.696 0.913 0.696
Na: 0.980 0.980 0.703
Na: 0.980 0.336 0.703
Na: 0.336 0.980 0.703
Na: 0.716 0.472 0.716
Na: 0.472 0.716 0.716
Na: 0.716 0.096 0.716
Na: 0.096 0.716 0.716
Na: 0.472 0.096 0.716
Na: 0.096 0.472 0.716
Na: 0.338 0.338 0.764
Na: 0.559 0.338 0.764
Na: 0.338 0.559 0.764
Na: 0.813 0.187 0.813
Na: 0.187 0.813 0.813
Na: 0.187 0.187 0.813
Na: 0.836 0.836 0.836
Na: 0.836 0.493 0.836
Na: 0.493 0.836 0.836
Na: 0.480 0.480 0.906
Na: 0.480 0.135 0.906
Na: 0.135 0.480 0.906
Na: 0.696 0.696 0.913
Na: 0.946 0.163 0.946
Na: 0.163 0.946 0.946
Na: 0.946 0.946 0.946
Na: 0.980 0.336 0.980
Na: 0.336 0.980 0.980
Na: 0.703 0.336 0.980
Na: 0.336 0.703 0.980
Na: 0.980 0.703 0.980
Na: 0.703 0.980 0.980
Na: 0.217 0.217 0.999
Na: 0.568 0.217 0.999
Na: 0.217 0.568 0.999

***

# 17
DFT (PBE) results for GdZn after structural relaxation.

Properties
Spin magnetization ... 0.00 μB per atom
ΔE_f ... -12.13 kJ per mole of atoms
Offset from the most stable computed form ... 213 meV per atom

a b c (Å): 8.139 6.821 5.139
angles (deg): 90.00 90.00 101.09
Fractional positions:
Gd: 0.725 0.176 0.000
Gd: 0.281 0.311 0.000
Gd: 0.649 0.667 0.000
Gd: 0.573 0.389 0.500
Gd: 0.941 0.745 0.500
Gd: 0.497 0.880 0.500
Zn: 0.994 0.533 0.000
Zn: 0.286 0.814 0.000
Zn: 0.005 0.962 0.000
Zn: 0.217 0.093 0.500
Zn: 0.936 0.241 0.500
Zn: 0.228 0.522 0.500

***

# 18
DFT (PBE) results for ErAg after structural relaxation.

Properties
Spin magnetization ... 0.00 μB per atom
ΔE_f ... -7.17 kJ per mole of atoms

a b c (Å): 3.401 3.401 4.758
angles (deg): 90.00 90.00 120.00
Fractional positions:
Ag: 0.667 0.333 0.750
Er: 0.333 0.667 0.250

***

# 19
DFT (PBE) results for Tb2GeO5 after structural relaxation.

Properties
Spin magnetization ... 0.00 μB per atom
Offset from the most stable computed form ... 9 meV per atom

a b c (Å): 9.240 7.027 6.749
angles (deg): 90.00 104.83 90.00
Fractional positions:
Ge: 0.303 0.907 0.024
Ge: 0.697 0.407 0.476
Ge: 0.303 0.593 0.524
Ge: 0.697 0.093 0.976
O: 0.892 0.136 0.005
O: 0.613 0.302 0.017
O: 0.890 0.616 0.069
O: 0.716 0.916 0.176
O: 0.398 0.064 0.217
O: 0.602 0.564 0.283
O: 0.284 0.416 0.324
O: 0.110 0.116 0.431
O: 0.387 0.802 0.483
O: 0.108 0.636 0.495
O: 0.892 0.364 0.505
O: 0.613 0.198 0.517
O: 0.890 0.884 0.569
O: 0.716 0.584 0.676
O: 0.398 0.436 0.717
O: 0.602 0.936 0.783
O: 0.284 0.084 0.824
O: 0.110 0.384 0.931
O: 0.387 0.698 0.983
O: 0.108 0.864 0.995
Tb: 0.365 0.364 0.040
Tb: 0.026 0.373 0.230
Tb: 0.974 0.873 0.270
Tb: 0.635 0.864 0.460
Tb: 0.365 0.136 0.540
Tb: 0.026 0.127 0.730
Tb: 0.974 0.627 0.770
Tb: 0.635 0.636 0.960

***

# 20
DFT (PBE) results for BeCuMo after structural relaxation.

Properties
Spin magnetization ... 0.00 μB per atom
Offset from the most stable computed form ... 513 meV per atom

a b c (Å): 3.975 3.975 3.975
angles (deg): 60.00 60.00 60.00
Fractional positions:
Be: 0.250 0.250 0.250
Cu: 0.750 0.750 0.750
Mo: 0.000 0.000 0.000

***

Theoretical density readings, ordered: 9543; 8577; 5396; 8426; 6330; 15964; 8633; 9026; 5341; 8977; 10786; 10395; 6448; 3511; 7233; 1944; 7924; 9586; 7378; 6298 kg/m³